(1)
DFT (PBE-GGA) results for an optimized crystal structure of YTa2Ru2.

Cell: 4.434 4.434 10.459 Å, 90.00 90.00 90.00°
Space group I4/mmm (No. 139)
Asymmetric unit:
Y (0.000, 0.000, 0.000)
Ta (0.000, 0.000, 0.369)
Ru (0.000, 0.500, 0.250)

Computed properties:
- Calculated volume: 20.57 Å³/atom
- Excess energy over the best structure of this formula in the dataset: 325 meV/atom
- Energy relative to the elements: 0.0290 eV per atom
- Total DFT energy (no corrections): -9.7152 eV/atom

(2)
DFT (PBE-GGA) results for an optimized crystal structure of YTa2Ru.

Cell: 7.748 7.748 5.714 Å, 90.00 90.00 90.00°
Space group I-42d (No. 122)
Asymmetric unit:
Y (0.000, 0.000, 0.000)
Ta (0.190, 0.250, 0.625)
Ru (0.000, 0.000, 0.500)

Computed properties:
- Calculated volume: 21.44 Å³/atom
- Excess energy over the best structure of this formula in the dataset: 428 meV/atom
- Energy relative to the elements: 0.3770 eV per atom
- Total DFT energy (no corrections): -9.4843 eV/atom

(3)
DFT (PBE-GGA) results for an optimized crystal structure of YTaRu2.

Cell: 10.749 3.275 4.494 Å, 90.00 114.62 90.00°
Space group Cm (No. 8)
Asymmetric unit:
Y (0.000, 0.000, 0.000)
Ta (0.233, 0.000, 0.732)
Ru (0.015, 0.500, 0.515)
Ru (0.253, 0.500, 0.252)

Computed properties:
- Calculated volume: 17.98 Å³/atom
- Energy relative to the elements: -0.0635 eV per atom
- Total DFT energy (no corrections): -9.2806 eV/atom

(4)
DFT (PBE-GGA) results for an optimized crystal structure of YTa2Ru.

Cell: 3.159 3.159 7.835 Å, 90.00 90.00 90.00°
Space group P4/mmm (No. 123)
Asymmetric unit:
Y (0.000, 0.000, 0.000)
Ta (0.500, 0.500, 0.298)
Ru (0.000, 0.000, 0.500)

Computed properties:
- Calculated volume: 19.55 Å³/atom
- Excess energy over the best structure of this formula in the dataset: 123 meV/atom
- Energy relative to the elements: 0.0723 eV per atom
- Total DFT energy (no corrections): -9.7889 eV/atom

| no. | magnetization (μB/f.u.) |
| --- | --- |
| 1 | 0.7 |
| 2 | 0.0 |
| 3 | 0.0 |
| 4 | 0.0 |